# 1
# Sr2Zn2Ge (GGA-PBE, optimized geometry)
data_Sr2Zn2Ge
_chemical_formula_sum 'Sr8 Zn8 Ge4'
_cell_length_a 11.7356
_cell_length_b 4.4160
_cell_length_c 11.8872
_cell_angle_alpha 90.00
_cell_angle_beta 116.22
_cell_angle_gamma 90.00
_space_group_name_H-M_alt 'C 1 2/m 1'
_space_group_IT_number 12
_space_group_name_Hall '-C 2y'
loop_
_atom_site_label
_atom_site_type_symbol
_atom_site_fract_x
_atom_site_fract_y
_atom_site_fract_z
_atom_site_occupancy
Sr1 Sr 0.0988 0.0000 0.3927 1
Sr2 Sr 0.2000 0.5000 0.1371 1
Zn1 Zn 0.0372 0.0000 0.9127 1
Zn2 Zn 0.1099 0.5000 0.6142 1
Ge1 Ge 0.0718 0.5000 0.8183 1
# **DFT formation energy**: -382 meV/atom
# **E above lowest polymorph**: 0.0 meV/atom

=====

# 2
# PmPr6Tl3 (GGA-PBE, optimized geometry)
data_PmPr6Tl3
_chemical_formula_sum 'Pm4 Pr24 Tl12'
_cell_length_a 10.8986
_cell_length_b 15.9594
_cell_length_c 7.9538
_cell_angle_alpha 90.00
_cell_angle_beta 90.00
_cell_angle_gamma 90.00
_space_group_name_H-M_alt 'C m c 21'
_space_group_IT_number 36
_space_group_name_Hall 'C 2c -2'
loop_
_atom_site_label
_atom_site_type_symbol
_atom_site_fract_x
_atom_site_fract_y
_atom_site_fract_z
_atom_site_occupancy
Pm1 Pm 0.0000 0.2040 0.0000 1
Pr1 Pr 0.0000 0.0464 0.7036 1
Pr2 Pr 0.0000 0.2987 0.5476 1
Pr3 Pr 0.2315 0.3108 0.2034 1
Pr4 Pr 0.2320 0.4648 0.5177 1
Tl1 Tl 0.0000 0.4450 0.2275 1
Tl2 Tl 0.1464 0.1327 0.3449 1
# **DFT formation energy**: -113 meV/atom

=====

# 3
# EuZn3Rh (GGA-PBE, optimized geometry)
data_EuZn3Rh
_chemical_formula_sum 'Eu1 Zn3 Rh1'
_cell_length_a 4.8119
_cell_length_b 4.8119
_cell_length_c 4.8119
_cell_angle_alpha 90.00
_cell_angle_beta 90.00
_cell_angle_gamma 90.00
_space_group_name_H-M_alt 'P m -3 m'
_space_group_IT_number 221
_space_group_name_Hall '-P 4 2 3'
loop_
_atom_site_label
_atom_site_type_symbol
_atom_site_fract_x
_atom_site_fract_y
_atom_site_fract_z
_atom_site_occupancy
Eu1 Eu 0.0000 0.0000 0.0000 1
Zn1 Zn 0.0000 0.5000 0.5000 1
Rh1 Rh 0.5000 0.5000 0.5000 1
# **DFT formation energy**: -288 meV/atom

=====

# 4
# LaSm6YEr2 (GGA-PBE, optimized geometry)
data_LaSm6YEr2
_chemical_formula_sum 'La4 Sm24 Y4 Er8'
_cell_length_a 9.2110
_cell_length_b 15.2473
_cell_length_c 9.7262
_cell_angle_alpha 90.00
_cell_angle_beta 97.88
_cell_angle_gamma 90.00
_space_group_name_H-M_alt 'C 1 2/c 1'
_space_group_IT_number 15
_space_group_name_Hall '-C 2yc'
loop_
_atom_site_label
_atom_site_type_symbol
_atom_site_fract_x
_atom_site_fract_y
_atom_site_fract_z
_atom_site_occupancy
La1 La 0.0000 0.0943 0.2500 1
Sm1 Sm 0.0639 0.3215 0.4453 1
Sm2 Sm 0.1001 0.1065 0.6215 1
Sm3 Sm 0.2043 0.2724 0.8191 1
Y1 Y 0.0000 0.4717 0.7500 1
Er1 Er 0.2447 0.4496 0.0450 1
# **DFT formation energy**: 118 meV/atom

=====

# 5
# Pa2Ni5As2 (GGA-PBE, optimized geometry)
data_Pa2Ni5As2
_chemical_formula_sum 'Pa2 Ni5 As2'
_cell_length_a 3.8056
_cell_length_b 3.8056
_cell_length_c 9.6804
_cell_angle_alpha 90.00
_cell_angle_beta 90.00
_cell_angle_gamma 90.00
_space_group_name_H-M_alt 'P 4/m m m'
_space_group_IT_number 123
_space_group_name_Hall '-P 4 2'
loop_
_atom_site_label
_atom_site_type_symbol
_atom_site_fract_x
_atom_site_fract_y
_atom_site_fract_z
_atom_site_occupancy
Pa1 Pa 0.0000 0.0000 0.0000 1
Pa2 Pa 0.0000 0.0000 0.5000 1
Ni1 Ni 0.0000 0.5000 0.1966 1
Ni2 Ni 0.5000 0.5000 0.0000 1
As1 As 0.5000 0.5000 0.3542 1
# **DFT formation energy**: -511 meV/atom

=====

# 6
# Sc4InHg (GGA-PBE, optimized geometry)
data_Sc4InHg
_chemical_formula_sum 'Sc16 In4 Hg4'
_cell_length_a 8.2949
_cell_length_b 8.2949
_cell_length_c 8.2949
_cell_angle_alpha 90.00
_cell_angle_beta 90.00
_cell_angle_gamma 90.00
_space_group_name_H-M_alt 'F -4 3 m'
_space_group_IT_number 216
_space_group_name_Hall 'F -4 2 3'
loop_
_atom_site_label
_atom_site_type_symbol
_atom_site_fract_x
_atom_site_fract_y
_atom_site_fract_z
_atom_site_occupancy
Sc1 Sc 0.1255 0.1255 0.1255 1
In1 In 0.0000 0.0000 0.5000 1
Hg1 Hg 0.2500 0.2500 0.7500 1
# **DFT formation energy**: 122 meV/atom
# **E above lowest polymorph**: 210.1 meV/atom

=====

# 7
# Sm8PtSe3S4 (GGA-PBE, optimized geometry)
data_Sm8PtSe3S4
_chemical_formula_sum 'Sm24 Pt3 Se9 S12'
_cell_length_a 8.1980
_cell_length_b 8.1980
_cell_length_c 20.0884
_cell_angle_alpha 90.00
_cell_angle_beta 90.00
_cell_angle_gamma 120.00
_space_group_name_H-M_alt 'R -3 m'
_space_group_IT_number 166
_space_group_name_Hall '-R 3 2"'
loop_
_atom_site_label
_atom_site_type_symbol
_atom_site_fract_x
_atom_site_fract_y
_atom_site_fract_z
_atom_site_occupancy
Sm1 Sm 0.0000 0.0000 0.2436 1
Sm2 Sm 0.0074 0.5037 0.7531 1
Pt1 Pt 0.0000 0.0000 0.0000 1
Se1 Se 0.0000 0.5000 0.0000 1
S1 S 0.0000 0.0000 0.5000 1
S2 S 0.0000 0.5000 0.5000 1
# **Energy relative to the elements, uncorrected**: -1.840 eV/atom

=====

# 8
# V2ZnFe2 (GGA-PBE, optimized geometry)
data_V2ZnFe2
_chemical_formula_sum 'V4 Zn2 Fe4'
_cell_length_a 6.7592
_cell_length_b 6.7592
_cell_length_c 2.7442
_cell_angle_alpha 90.00
_cell_angle_beta 90.00
_cell_angle_gamma 90.00
_space_group_name_H-M_alt 'P 4/m b m'
_space_group_IT_number 127
_space_group_name_Hall '-P 4 2ab'
loop_
_atom_site_label
_atom_site_type_symbol
_atom_site_fract_x
_atom_site_fract_y
_atom_site_fract_z
_atom_site_occupancy
V1 V 0.1598 0.3402 0.0000 1
Zn1 Zn 0.0000 0.0000 0.5000 1
Fe1 Fe 0.1389 0.6389 0.5000 1
# **DFT formation energy**: -4 meV/atom
# **E above lowest polymorph**: 0.0 meV/atom